[1]
# Ga2GeTe, relaxed, DFT PBE
data_Ga2GeTe
_space_group_name_H-M_alt 'R 3 m'
_space_group_IT_number 160
_space_group_name_Hall 'R 3 -2"'
_cell_length_a 4.0490
_cell_length_b 4.0490
_cell_length_c 19.6655
_cell_angle_alpha 90.00
_cell_angle_beta 90.00
_cell_angle_gamma 120.00
loop_
_atom_site_label
_atom_site_fract_x
_atom_site_fract_y
_atom_site_fract_z
Ga1 0.0000 0.0000 0.0000
Ga2 0.0000 0.0000 0.1928
Ge1 0.0000 0.0000 0.5982
Te1 0.0000 0.0000 0.4283
# E_form (uncorrected): 41 meV/atom
# Offset from the most stable computed form: 238 meV per atom
# DOS at the Fermi energy: 5.35 states/eV per cell
# V: 23.27 A^3/atom

[2]
# Tb5Dy2Er5, relaxed, DFT PBE
data_Tb5Dy2Er5
_space_group_name_H-M_alt 'C 1 2/m 1'
_space_group_IT_number 12
_cell_length_a 14.960
_cell_length_b 4.983
_cell_length_c 11.161
_cell_angle_alpha 90.00
_cell_angle_beta 116.54
_cell_angle_gamma 90.00
loop_
_space_group_symop_operation_xyz
'x,y,z'
'-x,-y,-z'
'-x,y,-z'
'x,-y,z'
'x+1/2,y+1/2,z'
'-x+1/2,-y+1/2,-z'
'-x+1/2,y+1/2,-z'
'x+1/2,-y+1/2,z'
loop_
_atom_site_label
_atom_site_fract_x
_atom_site_fract_y
_atom_site_fract_z
Tb1 0.000 0.000 0.000
Tb2 0.084 0.000 0.750
Tb3 0.166 0.000 0.500
Dy1 0.083 0.500 0.249
Er1 0.000 0.500 0.500
Er2 0.167 0.500 0.000
Er3 0.250 0.000 0.249
# DFT formation energy: 19 meV/atom
# DOS at the Fermi energy: 33.26 states/eV per cell
# V: 31.01 A^3/atom

[3]
# TcOs2Pt, relaxed, DFT PBE
data_TcOs2Pt
_space_group_name_H-M_alt 'P 4 m m'
_space_group_IT_number 99
_cell_length_a 2.729
_cell_length_b 2.729
_cell_length_c 7.879
_cell_angle_alpha 90.00
_cell_angle_beta 90.00
_cell_angle_gamma 90.00
loop_
_space_group_symop_operation_xyz
'x,y,z'
'-y,x,z'
'-x,-y,z'
'y,-x,z'
'-x,y,z'
'y,x,z'
'x,-y,z'
'-y,-x,z'
loop_
_atom_site_label
_atom_site_fract_x
_atom_site_fract_y
_atom_site_fract_z
Tc1 0.000 0.000 0.000
Os1 0.000 0.000 0.483
Os2 0.500 0.500 0.248
Pt1 0.500 0.500 0.746
# DFT formation energy: 31 meV/atom
# Offset from the most stable computed form: 3 meV per atom
# DOS at the Fermi energy: 3.15 states/eV per cell
# V: 14.67 A^3/atom

[4]
# TcH2W, relaxed, DFT PBE
data_TcH2W
_space_group_name_H-M_alt 'R 3 m'
_space_group_IT_number 160
_space_group_name_Hall 'R 3 -2"'
_cell_length_a 2.8674
_cell_length_b 2.8674
_cell_length_c 15.2431
_cell_angle_alpha 90.00
_cell_angle_beta 90.00
_cell_angle_gamma 120.00
loop_
_atom_site_label
_atom_site_fract_x
_atom_site_fract_y
_atom_site_fract_z
Tc1 0.0000 0.0000 0.0000
H1 0.0000 0.0000 0.4095
H2 0.0000 0.0000 0.6027
W1 0.0000 0.0000 0.1858
# Offset from the most stable computed form: 92 meV per atom
# DOS at the Fermi energy: 9.44 states/eV per cell
# V: 9.04 A^3/atom

[5]
# DyTm2Co, relaxed, DFT PBE
data_DyTm2Co
_space_group_name_H-M_alt 'P 4/m m m'
_space_group_IT_number 123
_space_group_name_Hall '-P 4 2'
_cell_length_a 3.348
_cell_length_b 3.348
_cell_length_c 8.742
_cell_angle_alpha 90.00
_cell_angle_beta 90.00
_cell_angle_gamma 90.00
loop_
_atom_site_label
_atom_site_fract_x
_atom_site_fract_y
_atom_site_fract_z
Dy1 0.000 0.000 0.000
Tm1 0.500 0.500 0.318
Co1 0.000 0.000 0.500
# DFT formation energy: -92 meV/atom
# Offset from the most stable computed form: 97 meV per atom
# DOS at the Fermi energy: 4.18 states/eV per cell
# V: 24.50 A^3/atom

[6]
# BaCa3Ti, relaxed, DFT PBE
data_BaCa3Ti
_space_group_name_H-M_alt 'P m -3 m'
_space_group_IT_number 221
_space_group_name_Hall '-P 4 2 3'
_cell_length_a 5.911
_cell_length_b 5.911
_cell_length_c 5.911
_cell_angle_alpha 90.00
_cell_angle_beta 90.00
_cell_angle_gamma 90.00
loop_
_atom_site_label
_atom_site_fract_x
_atom_site_fract_y
_atom_site_fract_z
Ba1 0.000 0.000 0.000
Ca1 0.000 0.000 0.500
Ti1 0.500 0.500 0.500
# DFT formation energy: 1344 meV/atom
# Offset from the most stable computed form: 838 meV per atom
# DOS at the Fermi energy: 4.79 states/eV per cell
# V: 41.30 A^3/atom

[7]
# Dy6Ho5Th, relaxed, DFT PBE
data_Dy6Ho5Th
_space_group_name_H-M_alt 'I m m m'
_space_group_IT_number 71
_space_group_name_Hall '-I 2 2'
_cell_length_a 5.000
_cell_length_b 10.024
_cell_length_c 15.033
_cell_angle_alpha 90.00
_cell_angle_beta 90.00
_cell_angle_gamma 90.00
loop_
_atom_site_label
_atom_site_fract_x
_atom_site_fract_y
_atom_site_fract_z
Dy1 0.000 0.248 0.000
Dy2 0.000 0.251 0.335
Ho1 0.000 0.000 0.166
Ho2 0.000 0.000 0.500
Ho3 0.000 0.500 0.167
Th1 0.000 0.500 0.500
# DFT formation energy: 27 meV/atom
# DOS at the Fermi energy: 34.04 states/eV per cell
# V: 31.40 A^3/atom

[8]
# K3SiO4, relaxed, DFT PBE
data_K3SiO4
_space_group_name_H-M_alt 'I 4/m m m'
_space_group_IT_number 139
_space_group_name_Hall '-I 4 2'
_cell_length_a 6.165
_cell_length_b 6.165
_cell_length_c 7.425
_cell_angle_alpha 90.00
_cell_angle_beta 90.00
_cell_angle_gamma 90.00
loop_
_atom_site_label
_atom_site_fract_x
_atom_site_fract_y
_atom_site_fract_z
K1 0.000 0.000 0.000
K2 0.000 0.500 0.250
Si1 0.000 0.000 0.500
O1 0.194 0.194 0.500
# E_form (uncorrected): -1697 meV/atom
# Offset from the most stable computed form: 270 meV per atom
# V: 17.64 A^3/atom

[9]
# SrHg3Bi2, relaxed, DFT PBE
data_SrHg3Bi2
_space_group_name_H-M_alt 'C m m m'
_space_group_IT_number 65
_space_group_name_Hall '-C 2 2'
_cell_length_a 5.771
_cell_length_b 11.771
_cell_length_c 5.470
_cell_angle_alpha 90.00
_cell_angle_beta 90.00
_cell_angle_gamma 90.00
loop_
_atom_site_label
_atom_site_fract_x
_atom_site_fract_y
_atom_site_fract_z
Sr1 0.000 0.000 0.000
Hg1 0.000 0.163 0.500
Hg2 0.000 0.500 0.500
Bi1 0.000 0.306 0.000
# DFT formation energy: -228 meV/atom
# DOS at the Fermi energy: 6.71 states/eV per cell
# V: 30.97 A^3/atom

[10]
# Na2NpCdS4, relaxed, DFT PBE
data_Na2NpCdS4
_space_group_name_H-M_alt 'P 1 2/m 1'
_space_group_IT_number 10
_cell_length_a 6.765
_cell_length_b 3.980
_cell_length_c 7.097
_cell_angle_alpha 90.00
_cell_angle_beta 109.61
_cell_angle_gamma 90.00
loop_
_space_group_symop_operation_xyz
'x,y,z'
'-x,-y,-z'
'-x,y,-z'
'x,-y,z'
loop_
_atom_site_label
_atom_site_fract_x
_atom_site_fract_y
_atom_site_fract_z
Na1 0.000 0.000 0.000
Na2 0.500 0.500 0.000
Np1 0.000 0.500 0.500
Cd1 0.500 0.000 0.500
S1 0.230 0.000 0.731
S2 0.254 0.500 0.279
# E_form (uncorrected): -1097 meV/atom
# DOS at the Fermi energy: 10.57 states/eV per cell
# V: 22.50 A^3/atom

[11]
# Ho4PuCo5, relaxed, DFT PBE
data_Ho4PuCo5
_space_group_name_H-M_alt 'I 4 m m'
_space_group_IT_number 107
_space_group_name_Hall 'I 4 -2'
_cell_length_a 9.035
_cell_length_b 9.035
_cell_length_c 4.683
_cell_angle_alpha 90.00
_cell_angle_beta 90.00
_cell_angle_gamma 90.00
loop_
_atom_site_label
_atom_site_fract_x
_atom_site_fract_y
_atom_site_fract_z
Ho1 0.000 0.288 0.000
Pu1 0.000 0.000 0.388
Co1 0.000 0.000 0.879
Co2 0.185 0.185 0.519
# DFT formation energy: -17 meV/atom
# DOS at the Fermi energy: 22.88 states/eV per cell
# V: 19.11 A^3/atom

[12]
# Sc3Si2, relaxed, DFT PBE
data_Sc3Si2
_space_group_name_H-M_alt 'R -3 m'
_space_group_IT_number 166
_space_group_name_Hall '-R 3 2"'
_cell_length_a 4.5674
_cell_length_b 4.5674
_cell_length_c 15.4173
_cell_angle_alpha 90.00
_cell_angle_beta 90.00
_cell_angle_gamma 120.00
loop_
_atom_site_label
_atom_site_fract_x
_atom_site_fract_y
_atom_site_fract_z
Sc1 0.0000 0.0000 0.0000
Sc2 0.0000 0.0000 0.2115
Si1 0.0000 0.0000 0.4129
# E_form (uncorrected): -550 meV/atom
# DOS at the Fermi energy: 10.60 states/eV per cell
# V: 18.57 A^3/atom

[13]
# GaTcN2O, relaxed, DFT PBE
data_GaTcN2O
_space_group_name_H-M_alt 'P 4/m m m'
_space_group_IT_number 123
_space_group_name_Hall '-P 4 2'
_cell_length_a 3.904
_cell_length_b 3.904
_cell_length_c 3.963
_cell_angle_alpha 90.00
_cell_angle_beta 90.00
_cell_angle_gamma 90.00
loop_
_atom_site_label
_atom_site_fract_x
_atom_site_fract_y
_atom_site_fract_z
Ga1 0.000 0.000 0.000
Tc1 0.500 0.500 0.500
N1 0.000 0.500 0.500
O1 0.500 0.500 0.000
# E_form (uncorrected): 188 meV/atom
# DOS at the Fermi energy: 2.95 states/eV per cell
# V: 12.08 A^3/atom

[14]
# RbLaBrCl2, relaxed, DFT PBE
data_RbLaBrCl2
_space_group_name_H-M_alt 'P 4/m m m'
_space_group_IT_number 123
_space_group_name_Hall '-P 4 2'
_cell_length_a 5.644
_cell_length_b 5.644
_cell_length_c 5.990
_cell_angle_alpha 90.00
_cell_angle_beta 90.00
_cell_angle_gamma 90.00
loop_
_atom_site_label
_atom_site_fract_x
_atom_site_fract_y
_atom_site_fract_z
Rb1 0.000 0.000 0.000
La1 0.500 0.500 0.500
Br1 0.500 0.500 0.000
Cl1 0.000 0.500 0.500
# E_form (uncorrected): -1830 meV/atom
# DOS at the Fermi energy: 4.54 states/eV per cell
# V: 38.16 A^3/atom

[15]
# BaCuNi2P6, relaxed, DFT PBE
data_BaCuNi2P6
_space_group_name_H-M_alt 'R -3 m'
_space_group_IT_number 166
_space_group_name_Hall '-R 3 2"'
_cell_length_a 5.7913
_cell_length_b 5.7913
_cell_length_c 23.9448
_cell_angle_alpha 90.00
_cell_angle_beta 90.00
_cell_angle_gamma 120.00
loop_
_atom_site_label
_atom_site_fract_x
_atom_site_fract_y
_atom_site_fract_z
Ba1 0.0000 0.0000 0.0000
Cu1 0.0000 0.0000 0.5000
Ni1 0.0000 0.0000 0.2627
P1 0.0781 0.5390 0.0849
# DFT formation energy: -133 meV/atom
# DOS at the Fermi energy: 8.55 states/eV per cell
# V: 23.18 A^3/atom

[16]
# Sc3InO2, relaxed, DFT PBE
data_Sc3InO2
_space_group_name_H-M_alt 'P m m n'
_space_group_IT_number 59
_cell_length_a 3.532
_cell_length_b 10.729
_cell_length_c 5.789
_cell_angle_alpha 90.00
_cell_angle_beta 90.00
_cell_angle_gamma 90.00
loop_
_space_group_symop_operation_xyz
'x,y,z'
'-x,-y,-z'
'-x+1/2,-y+1/2,z'
'x+1/2,y+1/2,-z'
'x+1/2,-y,-z'
'-x+1/2,y,z'
'-x,y+1/2,-z'
'x,-y+1/2,z'
loop_
_atom_site_label
_atom_site_fract_x
_atom_site_fract_y
_atom_site_fract_z
Sc1 0.250 0.021 0.228
Sc2 0.250 0.250 0.809
In1 0.250 0.750 0.626
O1 0.250 0.065 0.876
# E_form (uncorrected): -2098 meV/atom
# DOS at the Fermi energy: 3.65 states/eV per cell
# V: 18.28 A^3/atom

[17]
# PrInPd, relaxed, DFT PBE
data_PrInPd
_space_group_name_H-M_alt 'P -6 m 2'
_space_group_IT_number 187
_space_group_name_Hall 'P -6 2'
_cell_length_a 4.7715
_cell_length_b 4.7715
_cell_length_c 3.7561
_cell_angle_alpha 90.00
_cell_angle_beta 90.00
_cell_angle_gamma 120.00
loop_
_atom_site_label
_atom_site_fract_x
_atom_site_fract_y
_atom_site_fract_z
Pr1 0.0000 0.0000 0.0000
In1 0.6667 0.3333 0.5000
Pd1 0.3333 0.6667 0.5000
# DFT formation energy: -664 meV/atom
# DOS at the Fermi energy: 2.07 states/eV per cell
# V: 24.69 A^3/atom

[18]
# BaNaPt2Rh, relaxed, DFT PBE
data_BaNaPt2Rh
_space_group_name_H-M_alt 'P 4/m m m'
_space_group_IT_number 123
_space_group_name_Hall '-P 4 2'
_cell_length_a 5.475
_cell_length_b 5.475
_cell_length_c 5.191
_cell_angle_alpha 90.00
_cell_angle_beta 90.00
_cell_angle_gamma 90.00
loop_
_atom_site_label
_atom_site_fract_x
_atom_site_fract_y
_atom_site_fract_z
Ba1 0.000 0.000 0.000
Na1 0.500 0.500 0.500
Pt1 0.000 0.500 0.000
Rh1 0.000 0.000 0.500
# DFT formation energy: 1211 meV/atom
# DOS at the Fermi energy: 8.21 states/eV per cell
# V: 31.12 A^3/atom

[19]
# Rb4U3PdSe8, relaxed, DFT PBE
data_Rb4U3PdSe8
_space_group_name_H-M_alt 'C 1 2/m 1'
_space_group_IT_number 12
_cell_length_a 14.531
_cell_length_b 8.381
_cell_length_c 9.373
_cell_angle_alpha 90.00
_cell_angle_beta 121.12
_cell_angle_gamma 90.00
loop_
_space_group_symop_operation_xyz
'x,y,z'
'-x,-y,-z'
'-x,y,-z'
'x,-y,z'
'x+1/2,y+1/2,z'
'-x+1/2,-y+1/2,-z'
'-x+1/2,y+1/2,-z'
'x+1/2,-y+1/2,z'
loop_
_atom_site_label
_atom_site_fract_x
_atom_site_fract_y
_atom_site_fract_z
Rb1 0.000 0.000 0.000
Rb2 0.000 0.500 0.000
Rb3 0.250 0.250 0.000
U1 0.000 0.000 0.500
U2 0.250 0.250 0.500
Pd1 0.000 0.500 0.500
Se1 0.021 0.246 0.308
Se2 0.233 0.000 0.700
Se3 0.234 0.500 0.693
# E_form (uncorrected): -1084 meV/atom
# DOS at the Fermi energy: 36.88 states/eV per cell
# V: 30.54 A^3/atom

[20]
# LaOsO2, relaxed, DFT PBE
data_LaOsO2
_space_group_name_H-M_alt 'I -4 2 d'
_space_group_IT_number 122
_space_group_name_Hall 'I -4 2bw'
_cell_length_a 4.452
_cell_length_b 4.452
_cell_length_c 12.700
_cell_angle_alpha 90.00
_cell_angle_beta 90.00
_cell_angle_gamma 90.00
loop_
_atom_site_label
_atom_site_fract_x
_atom_site_fract_y
_atom_site_fract_z
La1 0.000 0.000 0.000
Os1 0.000 0.000 0.500
O1 0.169 0.250 0.625
# E_form (uncorrected): -1236 meV/atom
# Offset from the most stable computed form: 278 meV per atom
# DOS at the Fermi energy: 11.00 states/eV per cell
# V: 15.73 A^3/atom